SiAg2Pt | Alexandria | GGA-PBEsol | optimized geometry; size of the total moment = 0.0 μB per formula unit; formation energy (no corrections) = 0.15 eV/atom
1.0
2.795 0.000 0.000
0.000 2.795 0.000
0.000 0.000 8.033
Si Ag Pt
1 2 1
Direct
0.000 0.000 0.000 Si
0.500 0.500 0.247 Ag
0.500 0.500 0.753 Ag
0.000 0.000 0.500 Pt